Computed, not measured: an optimized crystal structure of NdAl3H12 at the PBE-GGA level of DFT.

Volume = 219.2 Å³/f.u.
Total DFT energy (no corrections) = -3.599 eV/atom

Structure (CIF):
```
data_NdAl3H12
_chemical_formula_sum 'Nd6 Al18 H72'
_symmetry_space_group_name_H-M 'R 3 c'
_symmetry_Int_Tables_number 161
_symmetry_space_group_name_Hall 'R 3 -2"c'
_cell_length_a 8.1335
_cell_length_b 8.1335
_cell_length_c 22.9612
_cell_angle_alpha 90.00
_cell_angle_beta 90.00
_cell_angle_gamma 120.00
loop_
_atom_site_label
_atom_site_type_symbol
_atom_site_fract_x
_atom_site_fract_y
_atom_site_fract_z
Nd1 Nd 0.0000 0.0000 0.0000
Al1 Al 0.0300 0.3497 0.2815
H1 H 0.0787 0.2123 0.5711
H2 H 0.0901 0.5229 0.4618
H3 H 0.0914 0.5311 0.5964
H4 H 0.1273 0.3456 0.6731
```

***

Computed, not measured: an optimized crystal structure of NdAlH at the PBE-GGA level of DFT.

Distance to the lowest polymorph of the same formula = 197.7 meV/atom
Volume = 59.1 Å³/f.u.
Total DFT energy (no corrections) = -3.966 eV/atom

Structure (CIF):
```
data_NdAlH
_chemical_formula_sum 'Nd2 Al2 H2'
_symmetry_space_group_name_H-M 'I 4 m m'
_symmetry_Int_Tables_number 107
_symmetry_space_group_name_Hall 'I 4 -2'
_cell_length_a 3.220
_cell_length_b 3.220
_cell_length_c 11.409
_cell_angle_alpha 90.00
_cell_angle_beta 90.00
_cell_angle_gamma 90.00
loop_
_atom_site_label
_atom_site_type_symbol
_atom_site_fract_x
_atom_site_fract_y
_atom_site_fract_z
Nd1 Nd 0.000 0.000 0.000
Al1 Al 0.000 0.000 0.717
H1 H 0.000 0.000 0.457
```

***

Computed, not measured: an optimized crystal structure of Nd2AlH at the PBE-GGA level of DFT.

Distance to the lowest polymorph of the same formula = 265.3 meV/atom
Volume = 93.8 Å³/f.u.
Total DFT energy (no corrections) = -4.036 eV/atom

Structure (CIF):
```
data_Nd2AlH
_chemical_formula_sum 'Nd6 Al3 H3'
_symmetry_space_group_name_H-M 'R -3 m'
_symmetry_Int_Tables_number 166
_symmetry_space_group_name_Hall '-R 3 2"'
_cell_length_a 3.3762
_cell_length_b 3.3762
_cell_length_c 28.5043
_cell_angle_alpha 90.00
_cell_angle_beta 90.00
_cell_angle_gamma 120.00
loop_
_atom_site_label
_atom_site_type_symbol
_atom_site_fract_x
_atom_site_fract_y
_atom_site_fract_z
Nd1 Nd 0.0000 0.0000 0.1101
Al1 Al 0.0000 0.0000 0.0000
H1 H 0.0000 0.0000 0.5000
```

***

Computed, not measured: an optimized crystal structure of NdAlH at the PBE-GGA level of DFT.

Distance to the lowest polymorph of the same formula = 0.0 meV/atom
Volume = 59.1 Å³/f.u.
Total DFT energy (no corrections) = -4.164 eV/atom

Structure (CIF):
```
data_NdAlH
_chemical_formula_sum 'Nd4 Al4 H4'
_symmetry_space_group_name_H-M 'C m c m'
_symmetry_Int_Tables_number 63
_symmetry_space_group_name_Hall '-C 2c 2'
_cell_length_a 4.321
_cell_length_b 11.125
_cell_length_c 4.918
_cell_angle_alpha 90.00
_cell_angle_beta 90.00
_cell_angle_gamma 90.00
loop_
_atom_site_label
_atom_site_type_symbol
_atom_site_fract_x
_atom_site_fract_y
_atom_site_fract_z
Nd1 Nd 0.000 0.183 0.250
Al1 Al 0.000 0.500 0.000
H1 H 0.000 0.228 0.750
```

***

Computed, not measured: an optimized crystal structure of Nd2AlH at the PBE-GGA level of DFT.

Distance to the lowest polymorph of the same formula = 0.0 meV/atom
Volume = 86.0 Å³/f.u.
Total DFT energy (no corrections) = -4.301 eV/atom

Structure (CIF):
```
data_Nd2AlH
_chemical_formula_sum 'Nd2 Al1 H1'
_symmetry_space_group_name_H-M 'P 4/m m m'
_symmetry_Int_Tables_number 123
_symmetry_space_group_name_Hall '-P 4 2'
_cell_length_a 3.374
_cell_length_b 3.374
_cell_length_c 7.552
_cell_angle_alpha 90.00
_cell_angle_beta 90.00
_cell_angle_gamma 90.00
loop_
_atom_site_label
_atom_site_type_symbol
_atom_site_fract_x
_atom_site_fract_y
_atom_site_fract_z
Nd1 Nd 0.000 0.000 0.228
Al1 Al 0.500 0.500 0.500
H1 H 0.500 0.500 0.000
```

***

Computed, not measured: an optimized crystal structure of NdAl2H6 at the PBE-GGA level of DFT.

Volume = 101.3 Å³/f.u.
Total DFT energy (no corrections) = -2.978 eV/atom

Structure (CIF):
```
data_NdAl2H6
_chemical_formula_sum 'Nd4 Al8 H24'
_symmetry_space_group_name_H-M 'F m -3 m'
_symmetry_Int_Tables_number 225
_symmetry_space_group_name_Hall '-F 4 2 3'
_cell_length_a 7.399
_cell_length_b 7.399
_cell_length_c 7.399
_cell_angle_alpha 90.00
_cell_angle_beta 90.00
_cell_angle_gamma 90.00
loop_
_atom_site_label
_atom_site_type_symbol
_atom_site_fract_x
_atom_site_fract_y
_atom_site_fract_z
Nd1 Nd 0.000 0.000 0.000
Al1 Al 0.250 0.250 0.250
H1 H 0.000 0.000 0.292
```

***

Computed, not measured: an optimized crystal structure of NdAlH at the PBE-GGA level of DFT.

Distance to the lowest polymorph of the same formula = 59.0 meV/atom
Volume = 53.6 Å³/f.u.
Total DFT energy (no corrections) = -4.105 eV/atom

Structure (CIF):
```
data_NdAlH
_chemical_formula_sum 'Nd2 Al2 H2'
_symmetry_space_group_name_H-M 'P m a 2'
_symmetry_Int_Tables_number 28
_symmetry_space_group_name_Hall 'P 2 -2a'
_cell_length_a 4.185
_cell_length_b 8.137
_cell_length_c 3.149
_cell_angle_alpha 90.00
_cell_angle_beta 90.00
_cell_angle_gamma 90.00
loop_
_atom_site_label
_atom_site_type_symbol
_atom_site_fract_x
_atom_site_fract_y
_atom_site_fract_z
Nd1 Nd 0.250 0.187 0.000
Al1 Al 0.250 0.587 0.500
H1 H 0.250 0.927 0.501
```

***

Computed, not measured: an optimized crystal structure of NdAlNi2H at the PBE-GGA level of DFT.

Volume = 70.8 Å³/f.u.
Total DFT energy (no corrections) = -5.176 eV/atom

Structure (CIF):
```
data_NdAlNi2H
_chemical_formula_sum 'Nd4 Al4 Ni8 H4'
_symmetry_space_group_name_H-M 'C m c m'
_symmetry_Int_Tables_number 63
_symmetry_space_group_name_Hall '-C 2c 2'
_cell_length_a 3.833
_cell_length_b 10.630
_cell_length_c 6.952
_cell_angle_alpha 90.00
_cell_angle_beta 90.00
_cell_angle_gamma 90.00
loop_
_atom_site_label
_atom_site_type_symbol
_atom_site_fract_x
_atom_site_fract_y
_atom_site_fract_z
Nd1 Nd 0.000 0.065 0.250
Al1 Al 0.000 0.217 0.750
Ni1 Ni 0.000 0.340 0.057
H1 H 0.000 0.500 0.000
```

***

Among the records above, which one has the lowest total DFT energy (no corrections)?
NdAlNi2H